## NdV2O4 (PBE with a Hubbard U)

Data for a relaxed structure of NdV2O4.

```
NdV2O4
1.0
-2.916 -4.179 3.252
-3.294 0.994 -4.970
5.624 -1.969 -1.642
Nd V O
2 4 8
Cartesian
-0.423 -1.302 -3.745 Nd
-0.551 -5.136 -3.350 Nd
-3.299 -2.235 -2.727 V
1.160 -3.716 -1.063 V
2.618 -1.626 -2.689 V
-1.652 -2.731 -0.242 V
-0.793 -4.576 -1.087 O
3.112 -2.856 -1.038 O
-1.636 -4.207 1.276 O
0.262 -2.244 0.306 O
1.245 -4.520 0.972 O
-1.668 -1.256 -1.760 O
-3.566 -3.219 -0.790 O
1.075 -2.912 -3.097 O
```

Final energy (eV per cell): -112.41